(1)
DFT (PBE-GGA) results for crystalline Na2HgPd5Pt2 at its relaxed geometry.

## Properties
For the final energy, the calculation gives -82.69 eV/cell. The value obtained for the density is 10.71 g/cm³. The space-group type is P4/mbm. For the formation enthalpy at 0 K, the calculation gives -36 meV/atom.

Unit cell a=9.308 b=9.308 c=4.182 alpha=90.00 beta=90.00 gamma=90.00
Element x y z (fractional)
Na1 0.173 0.327 0.000
Na2 0.327 0.827 0.000
Na3 0.673 0.173 0.000
Na4 0.827 0.673 0.000
Hg1 0.000 0.000 0.000
Hg2 0.500 0.500 0.000
Pd1 0.000 0.500 0.500
Pd2 0.069 0.797 0.500
Pd3 0.203 0.069 0.500
Pd4 0.297 0.569 0.500
Pd5 0.431 0.297 0.500
Pd6 0.500 0.000 0.500
Pd7 0.569 0.703 0.500
Pd8 0.703 0.431 0.500
Pd9 0.797 0.931 0.500
Pd10 0.931 0.203 0.500
Pt1 0.124 0.624 0.000
Pt2 0.376 0.124 0.000
Pt3 0.624 0.876 0.000
Pt4 0.876 0.376 0.000

(2)
DFT (PBE-GGA) results for crystalline BaSrCu2 at its relaxed geometry.

## Properties
For the final energy, the calculation gives -11.21 eV/cell. The energy relative to the lowest polymorph listed for this composition is 74 kJ/mol of formula units. The value obtained for the density is 4.92 g/cm³. The space-group type is P4mm. For the formation enthalpy at 0 K, the calculation gives 146 meV/atom.

Unit cell a=3.674 b=3.674 c=8.801 alpha=90.00 beta=90.00 gamma=90.00
Element x y z (fractional)
Ba1 0.000 0.000 0.000
Sr1 0.500 0.500 0.573
Cu1 0.000 0.000 0.347
Cu2 0.500 0.500 0.243

(3)
DFT (PBE-GGA) results for crystalline LaCd12Hg4 at its relaxed geometry.

## Properties
For the final energy, the calculation gives -15.72 eV/cell. The value obtained for the density is 7.89 g/cm³. The space-group type is Im-3. For the formation enthalpy at 0 K, the calculation gives 82 meV/atom.

Unit cell a=8.557 b=8.557 c=8.557 alpha=109.47 beta=109.47 gamma=109.47
Element x y z (fractional)
La1 0.000 0.000 0.000
Cd1 0.146 0.497 0.351
Cd2 0.146 0.794 0.649
Cd3 0.206 0.351 0.854
Cd4 0.351 0.146 0.497
Cd5 0.351 0.854 0.206
Cd6 0.497 0.351 0.146
Cd7 0.503 0.649 0.854
Cd8 0.649 0.146 0.794
Cd9 0.649 0.854 0.503
Cd10 0.794 0.649 0.146
Cd11 0.854 0.206 0.351
Cd12 0.854 0.503 0.649
Hg1 0.000 0.000 0.500
Hg2 0.000 0.500 0.000
Hg3 0.500 0.000 0.000
Hg4 0.500 0.500 0.500

Repeat the second record exactly.
DFT (PBE-GGA) results for crystalline BaSrCu2 at its relaxed geometry.

## Properties
For the final energy, the calculation gives -11.21 eV/cell. The energy relative to the lowest polymorph listed for this composition is 74 kJ/mol of formula units. The value obtained for the density is 4.92 g/cm³. The space-group type is P4mm. For the formation enthalpy at 0 K, the calculation gives 146 meV/atom.

Unit cell a=3.674 b=3.674 c=8.801 alpha=90.00 beta=90.00 gamma=90.00
Element x y z (fractional)
Ba1 0.000 0.000 0.000
Sr1 0.500 0.500 0.573
Cu1 0.000 0.000 0.347
Cu2 0.500 0.500 0.243